Entry 1:
VASP calculation (PBE-GGA) on Li7Pm3Ge4 after structural relaxation.

M_tot, μB per formula unit: 0.0

Lattice parameters (Å, degrees): 16.469 4.533 8.361 90.00 119.83 90.00
Space group C2/m (No. 12)
Symmetry-distinct sites (fractional):
Li  0.000  0.000  0.000 x2
Li  0.016  0.500  0.202 x4
Li  0.142  0.000  0.951 x4
Li  0.168  0.500  0.511 x4
Pm  0.000  0.000  0.500 x2
Pm  0.231  0.500  0.223 x4
Ge  0.133  0.000  0.322 x4
Ge  0.137  0.500  0.783 x4



Entry 2:
VASP calculation (PBE-GGA) on CeDy2Er3As6 after structural relaxation.

M_tot, μB per formula unit: 0.5

Lattice parameters (Å, degrees): 17.919 4.120 8.231 90.00 103.25 90.00
Space group C2/m (No. 12)
Symmetry-distinct sites (fractional):
Ce  0.000  0.000  0.000 x2
Dy  0.168  0.500  0.336 x4
Er  0.000  0.000  0.500 x2
Er  0.167  0.500  0.832 x4
As  0.000  0.500  0.254 x4
As  0.166  0.000  0.585 x4
As  0.168  0.000  0.082 x4



Entry 3:
VASP calculation (PBE-GGA) on BaCaPdRu2 after structural relaxation.

M_tot, μB per formula unit: 2.6

Lattice parameters (Å, degrees): 5.062 5.062 5.104 90.00 90.00 90.00
Space group P4/mmm (No. 123)
Symmetry-distinct sites (fractional):
Ba  0.000  0.000  0.000 x1
Ca  0.500  0.500  0.000 x1
Pd  0.500  0.500  0.500 x1
Ru  0.000  0.500  0.500 x2



Entry 4:
VASP calculation (PBE-GGA) on KNa6Tl4 after structural relaxation.

M_tot, μB per formula unit: 0.0

Lattice parameters (Å, degrees): 8.117 8.117 12.272 90.00 90.00 90.00
Space group I-42m (No. 121)
Symmetry-distinct sites (fractional):
K  0.000  0.000  0.000 x2
Na  0.000  0.500  0.000 x4
Na  0.197  0.197  0.706 x8
Tl  0.156  0.156  0.422 x8



| no. | calculated formation energy (eV/atom) |
| --- | --- |
| 1 | -0.52 |
| 2 | -1.51 |
| 3 | 0.74 |
| 4 | -0.08 |